1.
# PrSn2Rh | the Alexandria database | PBE | relaxed
data_PrSn2Rh
_chemical_formula_sum 'Pr4 Sn8 Rh4'
_cell_length_a 8.425
_cell_length_b 7.392
_cell_length_c 6.024
_cell_angle_alpha 90.00
_cell_angle_beta 90.00
_cell_angle_gamma 90.00
_space_group_name_H-M_alt 'P n m a'
_space_group_IT_number 62
_space_group_name_Hall '-P 2ac 2n'
loop_
_atom_site_label
_atom_site_type_symbol
_atom_site_fract_x
_atom_site_fract_y
_atom_site_fract_z
Pr1 Pr 0.033 0.250 0.111
Sn1 Sn 0.185 0.047 0.616
Rh1 Rh 0.086 0.750 0.369
# ΔE_f = -691 meV/atom
# Density = 8.521 g/cm³
# Calculated volume = 375.1 Å³ per cell


2.
# Pr5Sn10Rh4 | the Alexandria database | PBE | relaxed
data_Pr5Sn10Rh4
_chemical_formula_sum 'Pr10 Sn20 Rh8'
_cell_length_a 14.205
_cell_length_b 14.205
_cell_length_c 4.670
_cell_angle_alpha 90.00
_cell_angle_beta 90.00
_cell_angle_gamma 90.00
_space_group_name_H-M_alt 'P 4/m b m'
_space_group_IT_number 127
_space_group_name_Hall '-P 4 2ab'
loop_
_atom_site_label
_atom_site_type_symbol
_atom_site_fract_x
_atom_site_fract_y
_atom_site_fract_z
Pr1 Pr 0.000 0.000 0.000
Pr2 Pr 0.111 0.389 0.500
Pr3 Pr 0.178 0.678 0.500
Sn1 Sn 0.002 0.836 0.500
Sn2 Sn 0.070 0.570 0.000
Sn3 Sn 0.154 0.198 0.000
Rh1 Rh 0.028 0.754 0.000
# ΔE_f = -742 meV/atom
# Density = 8.117 g/cm³
# Calculated volume = 942.3 Å³ per cell


3.
# PrSnRh | the Alexandria database | PBE | relaxed
data_PrSnRh
_chemical_formula_sum 'Pr3 Sn3 Rh3'
_cell_length_a 7.5114
_cell_length_b 7.5114
_cell_length_c 4.2053
_cell_angle_alpha 90.00
_cell_angle_beta 90.00
_cell_angle_gamma 120.00
_space_group_name_H-M_alt 'P -6 2 m'
_space_group_IT_number 189
_space_group_name_Hall 'P -6 -2'
loop_
_atom_site_label
_atom_site_type_symbol
_atom_site_fract_x
_atom_site_fract_y
_atom_site_fract_z
Pr1 Pr 0.0000 0.5866 0.0000
Sn1 Sn 0.0000 0.2488 0.5000
Rh1 Rh 0.0000 0.0000 0.0000
Rh2 Rh 0.3333 0.6667 0.5000
# ΔE_f = -845 meV/atom
# Density = 8.789 g/cm³
# Calculated volume = 205.5 Å³ per cell